1.
# Rb4U3CuO12 (PBE, relaxed)
data_Rb4U3CuO12
_symmetry_space_group_name_H-M 'I m -3 m'
_symmetry_Int_Tables_number 229
_symmetry_space_group_name_Hall '-I 4 2 3'
_cell_length_a 8.643
_cell_length_b 8.643
_cell_length_c 8.643
_cell_angle_alpha 90.00
_cell_angle_beta 90.00
_cell_angle_gamma 90.00
loop_
_atom_site_label
_atom_site_fract_x
_atom_site_fract_y
_atom_site_fract_z
Rb1 0.250 0.250 0.250
U1 0.000 0.000 0.500
Cu1 0.000 0.000 0.000
O1 0.000 0.000 0.271
O2 0.000 0.250 0.500
# **N(E_F)**: 11.06 states/eV/cell
# **Total energy**: -7.551 eV/atom

---

2.
# Pr12Y6Er (PBE, relaxed)
data_Pr12Y6Er
_symmetry_space_group_name_H-M 'R -3'
_symmetry_Int_Tables_number 148
_symmetry_space_group_name_Hall '-R 3'
_cell_length_a 12.3080
_cell_length_b 12.3080
_cell_length_c 15.3976
_cell_angle_alpha 90.00
_cell_angle_beta 90.00
_cell_angle_gamma 120.00
loop_
_atom_site_label
_atom_site_fract_x
_atom_site_fract_y
_atom_site_fract_z
Pr1 0.0010 0.8290 0.1916
Pr2 0.0482 0.8500 0.4163
Y1 0.0171 0.4283 0.6885
Er1 0.0000 0.0000 0.0000
# **N(E_F)**: 100.33 states/eV/cell
# **E_form**: 0.127 eV per atom
# **Total energy**: -5.173 eV/atom

---

3.
# Fe2ReIr (PBE, relaxed)
data_Fe2ReIr
_symmetry_space_group_name_H-M 'F -4 3 m'
_symmetry_Int_Tables_number 216
_symmetry_space_group_name_Hall 'F -4 2 3'
_cell_length_a 6.019
_cell_length_b 6.019
_cell_length_c 6.019
_cell_angle_alpha 90.00
_cell_angle_beta 90.00
_cell_angle_gamma 90.00
loop_
_atom_site_label
_atom_site_fract_x
_atom_site_fract_y
_atom_site_fract_z
Fe1 0.000 0.000 0.000
Fe2 0.250 0.250 0.250
Re1 0.250 0.250 0.750
Ir1 0.000 0.000 0.500
# **N(E_F)**: 16.00 states/eV/cell
# **E_form**: 0.162 eV per atom
# **Total energy**: -9.396 eV/atom

---

4.
# Tb2Ga4AgAu3 (PBE, relaxed)
data_Tb2Ga4AgAu3
_symmetry_space_group_name_H-M 'P -4 m 2'
_symmetry_Int_Tables_number 115
_symmetry_space_group_name_Hall 'P -4 -2'
_cell_length_a 4.268
_cell_length_b 4.268
_cell_length_c 11.053
_cell_angle_alpha 90.00
_cell_angle_beta 90.00
_cell_angle_gamma 90.00
loop_
_atom_site_label
_atom_site_fract_x
_atom_site_fract_y
_atom_site_fract_z
Tb1 0.000 0.500 0.249
Ga1 0.000 0.000 0.500
Ga2 0.000 0.500 0.863
Ga3 0.500 0.500 0.500
Ag1 0.500 0.500 0.000
Au1 0.000 0.000 0.000
Au2 0.000 0.500 0.638
# **N(E_F)**: 5.25 states/eV/cell
# **E_form**: -0.551 eV per atom
# **Total energy**: -3.956 eV/atom

---

5.
# LaNb2Ni (PBE, relaxed)
data_LaNb2Ni
_symmetry_space_group_name_H-M 'I 41/a m d'
_symmetry_Int_Tables_number 141
_cell_length_a 4.852
_cell_length_b 4.852
_cell_length_c 17.690
_cell_angle_alpha 90.00
_cell_angle_beta 90.00
_cell_angle_gamma 90.00
loop_
_symmetry_equiv_pos_as_xyz
'x,y,z'
'-x,-y,-z'
'-y+1/4,x+3/4,z+1/4'
'y+1/4,-x+3/4,-z+1/4'
'-x+1/2,-y,z+1/2'
'x+1/2,y,-z+1/2'
'y+1/4,-x+1/4,z+3/4'
'-y+1/4,x+1/4,-z+3/4'
'x,-y,-z'
'-x,y,z'
'-y+1/4,-x+1/4,-z+3/4'
'y+1/4,x+1/4,z+3/4'
'-x+1/2,y,-z+1/2'
'x+1/2,-y,z+1/2'
'y+1/4,x+3/4,-z+1/4'
'-y+1/4,-x+3/4,z+1/4'
'x+1/2,y+1/2,z+1/2'
'-x+1/2,-y+1/2,-z+1/2'
'-y+3/4,x+1/4,z+3/4'
'y+3/4,-x+1/4,-z+3/4'
'-x,-y+1/2,z'
'x,y+1/2,-z'
'y+3/4,-x+3/4,z+1/4'
'-y+3/4,x+3/4,-z+1/4'
'x+1/2,-y+1/2,-z+1/2'
'-x+1/2,y+1/2,z+1/2'
'-y+3/4,-x+3/4,-z+1/4'
'y+3/4,x+3/4,z+1/4'
'-x,y+1/2,-z'
'x,-y+1/2,z'
'y+3/4,x+1/4,-z+3/4'
'-y+3/4,-x+1/4,z+3/4'
loop_
_atom_site_label
_atom_site_fract_x
_atom_site_fract_y
_atom_site_fract_z
La1 0.000 0.250 0.375
Nb1 0.000 0.000 0.000
Ni1 0.000 0.250 0.875
# **N(E_F)**: 30.09 states/eV/cell
# **E_form**: 0.747 eV per atom
# **Total energy**: -6.965 eV/atom

---

6.
# CsKBi2 (PBE, relaxed)
data_CsKBi2
_symmetry_space_group_name_H-M 'P 4/m m m'
_symmetry_Int_Tables_number 123
_symmetry_space_group_name_Hall '-P 4 2'
_cell_length_a 4.837
_cell_length_b 4.837
_cell_length_c 7.961
_cell_angle_alpha 90.00
_cell_angle_beta 90.00
_cell_angle_gamma 90.00
loop_
_atom_site_label
_atom_site_fract_x
_atom_site_fract_y
_atom_site_fract_z
Cs1 0.000 0.000 0.000
K1 0.000 0.000 0.500
Bi1 0.500 0.500 0.319
# **N(E_F)**: 2.83 states/eV/cell
# **E_form**: -0.267 eV per atom
# **Total energy**: -2.696 eV/atom

---

7.
# Lu2ZnTe (PBE, relaxed)
data_Lu2ZnTe
_symmetry_space_group_name_H-M 'R -3 m'
_symmetry_Int_Tables_number 166
_symmetry_space_group_name_Hall '-R 3 2"'
_cell_length_a 3.8045
_cell_length_b 3.8045
_cell_length_c 29.8722
_cell_angle_alpha 90.00
_cell_angle_beta 90.00
_cell_angle_gamma 120.00
loop_
_atom_site_label
_atom_site_fract_x
_atom_site_fract_y
_atom_site_fract_z
Lu1 0.0000 0.0000 0.0977
Zn1 0.0000 0.0000 0.0000
Te1 0.0000 0.0000 0.5000
# **N(E_F)**: 9.04 states/eV/cell
# **Total energy**: -3.488 eV/atom

---

8.
# DyPu2Nb (PBE, relaxed)
data_DyPu2Nb
_symmetry_space_group_name_H-M 'P 4/m m m'
_symmetry_Int_Tables_number 123
_symmetry_space_group_name_Hall '-P 4 2'
_cell_length_a 3.671
_cell_length_b 3.671
_cell_length_c 7.312
_cell_angle_alpha 90.00
_cell_angle_beta 90.00
_cell_angle_gamma 90.00
loop_
_atom_site_label
_atom_site_fract_x
_atom_site_fract_y
_atom_site_fract_z
Dy1 0.000 0.000 0.000
Pu1 0.500 0.500 0.287
Nb1 0.000 0.000 0.500
# **N(E_F)**: 11.66 states/eV/cell
# **E_form**: 0.334 eV per atom
# **Total energy**: -10.500 eV/atom

---

9.
# Zr2InNi (PBE, relaxed)
data_Zr2InNi
_symmetry_space_group_name_H-M 'P 1 2/m 1'
_symmetry_Int_Tables_number 10
_symmetry_space_group_name_Hall '-P 2y'
_cell_length_a 3.224
_cell_length_b 3.994
_cell_length_c 6.035
_cell_angle_alpha 90.00
_cell_angle_beta 93.77
_cell_angle_gamma 90.00
loop_
_atom_site_label
_atom_site_fract_x
_atom_site_fract_y
_atom_site_fract_z
Zr1 0.034 0.000 0.271
In1 0.500 0.500 0.000
Ni1 0.500 0.500 0.500
# **N(E_F)**: 5.03 states/eV/cell
# **E_form**: -0.200 eV per atom
# **Total energy**: -6.604 eV/atom

---

10.
# Tb7Pr12Tl (PBE, relaxed)
data_Tb7Pr12Tl
_symmetry_space_group_name_H-M 'R -3'
_symmetry_Int_Tables_number 148
_symmetry_space_group_name_Hall '-R 3'
_cell_length_a 12.3948
_cell_length_b 12.3948
_cell_length_c 15.5325
_cell_angle_alpha 90.00
_cell_angle_beta 90.00
_cell_angle_gamma 120.00
loop_
_atom_site_label
_atom_site_fract_x
_atom_site_fract_y
_atom_site_fract_z
Tb1 0.0000 0.0000 0.0000
Tb2 0.0514 0.1843 0.3037
Pr1 0.0277 0.4470 0.2114
Pr2 0.0581 0.5900 0.5838
Tl1 0.0000 0.0000 0.5000
# **N(E_F)**: 95.58 states/eV/cell
# **E_form**: 0.149 eV per atom
# **Total energy**: -4.457 eV/atom

---

11.
# KLiNpBr6 (PBE, relaxed)
data_KLiNpBr6
_symmetry_space_group_name_H-M 'P -3 1 c'
_symmetry_Int_Tables_number 163
_symmetry_space_group_name_Hall '-P 3 2c'
_cell_length_a 7.1911
_cell_length_b 7.1911
_cell_length_c 14.6669
_cell_angle_alpha 90.00
_cell_angle_beta 90.00
_cell_angle_gamma 120.00
loop_
_atom_site_label
_atom_site_fract_x
_atom_site_fract_y
_atom_site_fract_z
K1 0.0000 0.0000 0.0000
Li1 0.3333 0.6667 0.2500
Np1 0.3333 0.6667 0.7500
Br1 0.0010 0.3669 0.6415
# **N(E_F)**: 8.90 states/eV/cell
# **Total energy**: -4.326 eV/atom

---

12.
# ScP2NO (PBE, relaxed)
data_ScP2NO
_symmetry_space_group_name_H-M 'P 4/m m m'
_symmetry_Int_Tables_number 123
_symmetry_space_group_name_Hall '-P 4 2'
_cell_length_a 5.148
_cell_length_b 5.148
_cell_length_c 3.892
_cell_angle_alpha 90.00
_cell_angle_beta 90.00
_cell_angle_gamma 90.00
loop_
_atom_site_label
_atom_site_fract_x
_atom_site_fract_y
_atom_site_fract_z
Sc1 0.000 0.000 0.000
P1 0.000 0.500 0.000
N1 0.500 0.500 0.500
O1 0.000 0.000 0.500
# **N(E_F)**: 5.22 states/eV/cell
# **Total energy**: -5.160 eV/atom

---

13.
# Tb2Pm4HoMg (PBE, relaxed)
data_Tb2Pm4HoMg
_symmetry_space_group_name_H-M 'P 1 2/m 1'
_symmetry_Int_Tables_number 10
_symmetry_space_group_name_Hall '-P 2y'
_cell_length_a 5.052
_cell_length_b 5.045
_cell_length_c 10.015
_cell_angle_alpha 90.00
_cell_angle_beta 90.05
_cell_angle_gamma 90.00
loop_
_atom_site_label
_atom_site_fract_x
_atom_site_fract_y
_atom_site_fract_z
Tb1 0.000 0.000 0.000
Tb2 0.500 0.500 0.500
Pm1 0.000 0.500 0.247
Pm2 0.500 0.000 0.247
Ho1 0.000 0.000 0.500
Mg1 0.500 0.500 0.000
# **N(E_F)**: 10.81 states/eV/cell
# **E_form**: 0.009 eV per atom
# **Total energy**: -4.295 eV/atom

---

14.
# MnCrAs2 (PBE, relaxed)
data_MnCrAs2
_symmetry_space_group_name_H-M 'I -4 2 d'
_symmetry_Int_Tables_number 122
_symmetry_space_group_name_Hall 'I -4 2bw'
_cell_length_a 5.693
_cell_length_b 5.693
_cell_length_c 11.347
_cell_angle_alpha 90.00
_cell_angle_beta 90.00
_cell_angle_gamma 90.00
loop_
_atom_site_label
_atom_site_fract_x
_atom_site_fract_y
_atom_site_fract_z
Mn1 0.000 0.000 0.000
Cr1 0.000 0.000 0.500
As1 0.247 0.250 0.625
# **N(E_F)**: 6.40 states/eV/cell
# **E_form**: 0.194 eV per atom
# **Total energy**: -6.829 eV/atom

---

15.
# MoP3Cl (PBE, relaxed)
data_MoP3Cl
_symmetry_space_group_name_H-M 'P m -3 m'
_symmetry_Int_Tables_number 221
_symmetry_space_group_name_Hall '-P 4 2 3'
_cell_length_a 4.689
_cell_length_b 4.689
_cell_length_c 4.689
_cell_angle_alpha 90.00
_cell_angle_beta 90.00
_cell_angle_gamma 90.00
loop_
_atom_site_label
_atom_site_fract_x
_atom_site_fract_y
_atom_site_fract_z
Mo1 0.000 0.000 0.000
P1 0.000 0.000 0.500
Cl1 0.500 0.500 0.500
# **N(E_F)**: 4.23 states/eV/cell
# **Total energy**: -5.407 eV/atom

---

16.
# Tb4HgIrRh2 (PBE, relaxed)
data_Tb4HgIrRh2
_symmetry_space_group_name_H-M 'R -3 m'
_symmetry_Int_Tables_number 166
_symmetry_space_group_name_Hall '-R 3 2"'
_cell_length_a 4.9567
_cell_length_b 4.9567
_cell_length_c 24.5857
_cell_angle_alpha 90.00
_cell_angle_beta 90.00
_cell_angle_gamma 120.00
loop_
_atom_site_label
_atom_site_fract_x
_atom_site_fract_y
_atom_site_fract_z
Tb1 0.0000 0.0000 0.1181
Tb2 0.0000 0.0000 0.3704
Hg1 0.0000 0.0000 0.5000
Ir1 0.0000 0.0000 0.0000
Rh1 0.0000 0.0000 0.2507
# **N(E_F)**: 12.32 states/eV/cell
# **E_form**: -0.731 eV per atom
# **Total energy**: -6.029 eV/atom

---

17.
# CaSn4 (PBE, relaxed)
data_CaSn4
_symmetry_space_group_name_H-M 'P m -3 m'
_symmetry_Int_Tables_number 221
_symmetry_space_group_name_Hall '-P 4 2 3'
_cell_length_a 5.704
_cell_length_b 5.704
_cell_length_c 5.704
_cell_angle_alpha 90.00
_cell_angle_beta 90.00
_cell_angle_gamma 90.00
loop_
_atom_site_label
_atom_site_fract_x
_atom_site_fract_y
_atom_site_fract_z
Ca1 0.000 0.000 0.000
Sn1 0.000 0.000 0.500
Sn2 0.500 0.500 0.500
# **N(E_F)**: 4.84 states/eV/cell
# **E_form**: 0.652 eV per atom
# **Total energy**: -2.951 eV/atom

---

18.
# K8HI3Br3 (PBE, relaxed)
data_K8HI3Br3
_symmetry_space_group_name_H-M 'R -3 m'
_symmetry_Int_Tables_number 166
_symmetry_space_group_name_Hall '-R 3 2"'
_cell_length_a 9.6552
_cell_length_b 9.6552
_cell_length_c 23.9516
_cell_angle_alpha 90.00
_cell_angle_beta 90.00
_cell_angle_gamma 120.00
loop_
_atom_site_label
_atom_site_fract_x
_atom_site_fract_y
_atom_site_fract_z
K1 0.0000 0.0000 0.2440
K2 0.0120 0.5060 0.2413
H1 0.0000 0.0000 0.5000
I1 0.0000 0.5000 0.0000
Br1 0.0000 0.5000 0.5000
# **N(E_F)**: 7.59 states/eV/cell
# **Total energy**: -2.718 eV/atom

---

19.
# PmMgAl4 (PBE, relaxed)
data_PmMgAl4
_symmetry_space_group_name_H-M 'F -4 3 m'
_symmetry_Int_Tables_number 216
_symmetry_space_group_name_Hall 'F -4 2 3'
_cell_length_a 7.871
_cell_length_b 7.871
_cell_length_c 7.871
_cell_angle_alpha 90.00
_cell_angle_beta 90.00
_cell_angle_gamma 90.00
loop_
_atom_site_label
_atom_site_fract_x
_atom_site_fract_y
_atom_site_fract_z
Pm1 0.000 0.000 0.000
Mg1 0.250 0.250 0.250
Al1 0.125 0.125 0.625
# **N(E_F)**: 16.70 states/eV/cell
# **E_form**: -0.237 eV per atom
# **Total energy**: -3.789 eV/atom

---

20.
# LaNd8Bi6 (PBE, relaxed)
data_LaNd8Bi6
_symmetry_space_group_name_H-M 'R -3'
_symmetry_Int_Tables_number 148
_symmetry_space_group_name_Hall '-R 3'
_cell_length_a 8.4594
_cell_length_b 8.4594
_cell_length_c 26.1319
_cell_angle_alpha 90.00
_cell_angle_beta 90.00
_cell_angle_gamma 120.00
loop_
_atom_site_label
_atom_site_fract_x
_atom_site_fract_y
_atom_site_fract_z
La1 0.0000 0.0000 0.0000
Nd1 0.0000 0.0000 0.3334
Nd2 0.0010 0.3310 0.1225
Bi1 0.0007 0.3372 0.9322
# **N(E_F)**: 53.34 states/eV/cell
# **E_form**: -0.621 eV per atom
# **Total energy**: -5.045 eV/atom

---

21.
# Sr2MnInOs (PBE, relaxed)
data_Sr2MnInOs
_symmetry_space_group_name_H-M 'P 4/m m m'
_symmetry_Int_Tables_number 123
_symmetry_space_group_name_Hall '-P 4 2'
_cell_length_a 5.717
_cell_length_b 5.717
_cell_length_c 5.181
_cell_angle_alpha 90.00
_cell_angle_beta 90.00
_cell_angle_gamma 90.00
loop_
_atom_site_label
_atom_site_fract_x
_atom_site_fract_y
_atom_site_fract_z
Sr1 0.000 0.500 0.000
Mn1 0.000 0.000 0.500
In1 0.500 0.500 0.500
Os1 0.500 0.500 0.000
# **N(E_F)**: 11.01 states/eV/cell
# **E_form**: 1.206 eV per atom
# **Total energy**: -4.094 eV/atom

---

22.
# CaPm5S6 (PBE, relaxed)
data_CaPm5S6
_symmetry_space_group_name_H-M 'C 1 2/m 1'
_symmetry_Int_Tables_number 12
_symmetry_space_group_name_Hall '-C 2y'
_cell_length_a 6.969
_cell_length_b 12.111
_cell_length_c 6.982
_cell_angle_alpha 90.00
_cell_angle_beta 109.45
_cell_angle_gamma 90.00
loop_
_atom_site_label
_atom_site_fract_x
_atom_site_fract_y
_atom_site_fract_z
Ca1 0.000 0.000 0.000
Pm1 0.000 0.167 0.500
Pm2 0.000 0.333 0.000
Pm3 0.000 0.500 0.500
S1 0.246 0.000 0.753
S2 0.247 0.164 0.248
# **N(E_F)**: 9.35 states/eV/cell
# **Total energy**: -6.253 eV/atom